Entry 1:
A plane-wave DFT calculation with PBEsol was carried out for LaHg3 after structural relaxation.

a = 6.5435 Å, b = 6.5889 Å, c = 9.4167 Å
α = 90.00°, β = 90.00°, γ = 90.00°
Closest atoms and distances in Å follow each position.
Element x y z (fractional)
Hg 0.0005 0.0313 0.7500  6 Hg 3.12-3.49, 4 La 3.24-3.35
Hg 0.4995 0.5313 0.2500  6 Hg 3.12-3.49, 4 La 3.24-3.35
Hg 0.5005 0.4687 0.7500  6 Hg 3.12-3.49, 4 La 3.24-3.35
Hg 0.9995 0.9687 0.2500  6 Hg 3.12-3.49, 4 La 3.24-3.35
Hg 0.7495 0.7494 0.0128  7 Hg 3.12-3.49, 4 La 3.27-3.36
Hg 0.7505 0.2494 0.9872  7 Hg 3.12-3.49, 4 La 3.27-3.36
Hg 0.2495 0.7506 0.4872  7 Hg 3.12-3.49, 4 La 3.27-3.36
Hg 0.2505 0.2506 0.5128  7 Hg 3.12-3.49, 4 La 3.27-3.36
Hg 0.2505 0.2506 0.9872  7 Hg 3.12-3.49, 4 La 3.27-3.36
Hg 0.2495 0.7506 0.0128  7 Hg 3.12-3.49, 4 La 3.27-3.36
Hg 0.7505 0.2494 0.5128  7 Hg 3.12-3.49, 4 La 3.27-3.36
Hg 0.7495 0.7494 0.4872  7 Hg 3.12-3.49, 4 La 3.27-3.36
La 0.0000 0.5396 0.7500  12 Hg 3.24-3.36
La 0.5000 0.0396 0.2500  12 Hg 3.24-3.36
La 0.5000 0.9604 0.7500  12 Hg 3.24-3.36
La 0.0000 0.4604 0.2500  12 Hg 3.24-3.36

Summary:
The calculation puts the energy of formation from the pure elements at -0.425 eV per atom. The volume comes out at 25.4 A^3/atom. The value obtained for the total energy is -8.745 eV per formula unit. As for the space group: Pnma.


Entry 2:
A plane-wave DFT calculation with PBEsol was carried out for La3Hg after structural relaxation.

a = 5.4535 Å, b = 7.0820 Å, c = 7.0820 Å
α = 120.00°, β = 90.00°, γ = 90.00°
Closest atoms and distances in Å follow each position.
Element x y z (fractional)
Hg 0.7500 0.6667 0.3333  12 La 3.32-3.54
Hg 0.2500 0.3333 0.6667  12 La 3.32-3.54
La 0.7500 0.1784 0.3567  6 La 3.29-3.50, 4 Hg 3.32-3.54
La 0.2500 0.8216 0.6433  6 La 3.29-3.50, 4 Hg 3.32-3.54
La 0.7500 0.1784 0.8216  6 La 3.29-3.50, 4 Hg 3.32-3.54
La 0.2500 0.8216 0.1784  6 La 3.29-3.50, 4 Hg 3.32-3.54
La 0.7500 0.6433 0.8216  6 La 3.29-3.50, 4 Hg 3.32-3.54
La 0.2500 0.3567 0.1784  6 La 3.29-3.50, 4 Hg 3.32-3.54

Summary:
For the offset from the most stable computed form, the calculation gives 28 meV/atom. The calculation puts the energy of formation from the pure elements at -0.245 eV per atom. The volume comes out at 29.6 A^3/atom. The value obtained for the total energy is -17.586 eV per formula unit. As for the space group: P6_3/mmc.


Entry 3:
A plane-wave DFT calculation with PBEsol was carried out for La4Hg after structural relaxation.

a = 4.8550 Å, b = 6.0668 Å, c = 6.0668 Å
α = 80.79°, β = 66.41°, γ = 66.41°
Closest atoms and distances in Å follow each position.
Element x y z (fractional)
Hg 0.0000 0.0000 0.0000  12 La 3.42-3.50
La 0.6135 0.5873 0.1858  9 La 3.33-3.63, 3 Hg 3.42-3.50
La 0.7993 0.8142 0.5873  9 La 3.33-3.63, 3 Hg 3.42-3.50
La 0.3865 0.4127 0.8142  9 La 3.33-3.63, 3 Hg 3.42-3.50
La 0.2007 0.1858 0.4127  9 La 3.33-3.63, 3 Hg 3.42-3.50

Summary:
For the offset from the most stable computed form, the calculation gives 0 meV/atom. The calculation puts the energy of formation from the pure elements at -0.194 eV per atom. The volume comes out at 30.0 A^3/atom. The value obtained for the total energy is -22.924 eV per formula unit. As for the space group: I4/m.


Entry 4:
A plane-wave DFT calculation with PBEsol was carried out for La3Hg after structural relaxation.

a = 4.9173 Å, b = 4.9173 Å, c = 4.9173 Å
α = 90.00°, β = 90.00°, γ = 90.00°
Closest atoms and distances in Å follow each position.
Element x y z (fractional)
Hg 0.0000 0.0000 0.0000  12 La 3.48
La 0.0000 0.5000 0.5000  8 La 3.48, 4 Hg 3.48
La 0.5000 0.0000 0.5000  4 Hg 3.48, 8 La 3.48
La 0.5000 0.5000 0.0000  8 La 3.48, 4 Hg 3.48

Summary:
For the offset from the most stable computed form, the calculation gives 28 meV/atom. The calculation puts the energy of formation from the pure elements at -0.245 eV per atom. The volume comes out at 29.7 A^3/atom. The value obtained for the total energy is -17.587 eV per formula unit. As for the space group: Pm-3m.


Entry 5:
A plane-wave DFT calculation with PBEsol was carried out for La3Hg after structural relaxation.

a = 3.6355 Å, b = 5.6921 Å, c = 5.6921 Å
α = 90.23°, β = 90.00°, γ = 90.00°
Closest atoms and distances in Å follow each position.
Element x y z (fractional)
Hg 0.0000 0.0000 0.0000  8 La 3.38, 2 Hg 3.64
La 0.5000 0.0000 0.5000  6 La 3.38-3.64, 4 Hg 3.38
La 0.5000 0.5000 0.0000  4 Hg 3.38, 6 La 3.38-3.64
La 0.0000 0.5000 0.5000  10 La 3.38-3.64

Summary:
For the offset from the most stable computed form, the calculation gives 39 meV/atom. The calculation puts the energy of formation from the pure elements at -0.235 eV per atom. The volume comes out at 29.4 A^3/atom. The value obtained for the total energy is -17.546 eV per formula unit. As for the space group: Cmmm.


Entry 6:
A plane-wave DFT calculation with PBEsol was carried out for La3Hg5 after structural relaxation.

a = 5.2919 Å, b = 6.5574 Å, c = 6.5574 Å
α = 108.78°, β = 90.00°, γ = 90.00°
Closest atoms and distances in Å follow each position.
Element x y z (fractional)
Hg 0.0000 0.0000 0.0000  8 Hg 3.28-3.45, 4 La 3.44
Hg 0.0000 0.5000 0.0000  2 Hg 3.28, 6 La 3.28-3.30
Hg 0.0000 0.0000 0.5000  6 La 3.28-3.30, 2 Hg 3.28
Hg 0.5000 0.7092 0.7092  4 La 3.09-3.13, 3 Hg 3.20-3.45
Hg 0.5000 0.2908 0.2908  4 La 3.09-3.13, 3 Hg 3.20-3.45
La 0.0000 0.5000 0.5000  8 Hg 3.09-3.28
La 0.5000 0.7934 0.2066  8 Hg 3.13-3.44
La 0.5000 0.2066 0.7934  8 Hg 3.13-3.44

Summary:
For the offset from the most stable computed form, the calculation gives 0 meV/atom. The calculation puts the energy of formation from the pure elements at -0.530 eV per atom. The volume comes out at 26.9 A^3/atom. The value obtained for the total energy is -23.110 eV per formula unit. As for the space group: Cmmm.